No. 1
VASP calculation (PBE-GGA) on CdOs2Au after structural relaxation.

Lattice parameters (Å, degrees): 2.8337 3.7656 6.3282 90.00 90.00 90.00
Fractional coordinates of all 4 atoms:
Cd1 0.5000 0.5000 0.7523
Au1 0.0000 0.0000 0.4913
Os1 0.5000 0.5000 0.2147
Os2 0.0000 0.0000 0.0417

Properties
M_tot: 0.0 μB/f.u.
E: -25.2 eV/f.u.
Crystal system: orthorhombic

***

No. 2
VASP calculation (PBE-GGA) on Cd2OsAu after structural relaxation.

Lattice parameters (Å, degrees): 5.0453 5.0453 5.2478 81.19 81.19 32.91
Fractional coordinates of all 4 atoms:
Cd1 0.4963 0.4963 0.5067
Os1 0.7500 0.7500 0.7500
Cd2 0.0037 0.0037 0.9933
Au1 0.2500 0.2500 0.2500

Properties
M_tot: 0.0 μB/f.u.
Energy relative to the lowest polymorph listed for this composition: 121 meV per atom
E: -14.6 eV/f.u.
Crystal system: monoclinic

***

No. 3
VASP calculation (PBE-GGA) on Cd2OsAu after structural relaxation.

Lattice parameters (Å, degrees): 4.8866 2.8131 5.2471 89.99 90.00 90.00
Fractional coordinates of all 4 atoms:
Cd1 0.0000 0.1247 0.9534
Cd2 0.5000 0.1253 0.3050
Au1 0.5000 0.6249 0.7879
Os1 0.0000 0.6250 0.4536

Properties
M_tot: 0.0 μB/f.u.
Energy relative to the lowest polymorph listed for this composition: 87 meV per atom
E: -14.7 eV/f.u.
Crystal system: orthorhombic

***

No. 4
VASP calculation (PBE-GGA) on Cd2OsAu after structural relaxation.

Lattice parameters (Å, degrees): 5.1432 5.1432 2.8685 90.00 90.00 109.19
Fractional coordinates of all 4 atoms:
Cd1 0.5000 0.5000 0.0000
Os1 0.5000 0.0000 0.5000
Au1 0.0000 0.5000 0.5000
Cd2 0.0000 0.0000 0.0000

Properties
M_tot: 0.0 μB/f.u.
Energy relative to the lowest polymorph listed for this composition: 43 meV per atom
E: -14.9 eV/f.u.
Crystal system: orthorhombic

***

No. 5
VASP calculation (PBE-GGA) on CdOs2AuS after structural relaxation.

Lattice parameters (Å, degrees): 5.0607 4.6797 5.0607 90.00 90.00 90.00
Last column: magnetic moment on the atom in μB.
Fractional coordinates of all 5 atoms:
S1 0.0000 0.5000 0.0000  0.14
Au1 0.5000 0.5000 0.5000  0.04
Cd1 0.0000 0.0000 0.0000  0.00
Os1 0.5000 0.0000 0.0000  2.21
Os2 0.0000 0.0000 0.5000  2.43

Properties
M_tot: 5.3 μB/f.u.
ΔE_f (raw): 2577 meV per atom
E: -17.9 eV/f.u.
Crystal system: tetragonal

***

No. 6
VASP calculation (PBE-GGA) on SrCdOs2Au after structural relaxation.

Lattice parameters (Å, degrees): 5.0103 5.5351 5.0103 90.00 90.00 90.00
Last column: magnetic moment on the atom in μB.
Fractional coordinates of all 5 atoms:
Cd1 0.5000 0.5000 0.5000  0.00
Sr1 0.0000 0.5000 0.0000  -0.03
Os1 0.0000 0.0000 0.5000  2.05
Au1 0.0000 0.0000 0.0000  0.17
Os2 0.5000 0.0000 0.0000  1.13

Properties
M_tot: 3.5 μB/f.u.
E: -20.2 eV/f.u.
Crystal system: tetragonal

***

No. 7
VASP calculation (PBE-GGA) on TaCdOsAu2 after structural relaxation.

Lattice parameters (Å, degrees): 5.1055 4.7140 5.1055 90.00 90.00 90.00
Fractional coordinates of all 5 atoms:
Au1 0.0000 0.0000 0.5000
Au2 0.5000 0.0000 0.0000
Cd1 0.5000 0.5000 0.5000
Os1 0.0000 0.0000 0.0000
Ta1 0.0000 0.5000 0.0000

Properties
M_tot: 0.0 μB/f.u.
E: -25.2 eV/f.u.
Crystal system: tetragonal

***

No. 8
VASP calculation (PBE-GGA) on TlCd2OsAu after structural relaxation.

Lattice parameters (Å, degrees): 5.2269 5.2043 5.2269 90.00 90.00 90.00
Last column: magnetic moment on the atom in μB.
Fractional coordinates of all 5 atoms:
Cd1 0.0000 0.0000 0.5000  0.00
Tl1 0.0000 0.5000 0.0000  0.00
Au1 0.5000 0.5000 0.5000  0.02
Os1 0.0000 0.0000 0.0000  0.43
Cd2 0.5000 0.0000 0.0000  0.00

Properties
M_tot: 0.5 μB/f.u.
E: -14.4 eV/f.u.
Crystal system: tetragonal

***

Please write out number 5 again, unchanged.
VASP calculation (PBE-GGA) on CdOs2AuS after structural relaxation.

Lattice parameters (Å, degrees): 5.0607 4.6797 5.0607 90.00 90.00 90.00
Last column: magnetic moment on the atom in μB.
Fractional coordinates of all 5 atoms:
S1 0.0000 0.5000 0.0000  0.14
Au1 0.5000 0.5000 0.5000  0.04
Cd1 0.0000 0.0000 0.0000  0.00
Os1 0.5000 0.0000 0.0000  2.21
Os2 0.0000 0.0000 0.5000  2.43

Properties
M_tot: 5.3 μB/f.u.
ΔE_f (raw): 2577 meV per atom
E: -17.9 eV/f.u.
Crystal system: tetragonal

***

- What is the M_tot in the seventh record?
  0.0 μB/f.u.

***

Copy entry 5 word for word.
VASP calculation (PBE-GGA) on CdOs2AuS after structural relaxation.

Lattice parameters (Å, degrees): 5.0607 4.6797 5.0607 90.00 90.00 90.00
Last column: magnetic moment on the atom in μB.
Fractional coordinates of all 5 atoms:
S1 0.0000 0.5000 0.0000  0.14
Au1 0.5000 0.5000 0.5000  0.04
Cd1 0.0000 0.0000 0.0000  0.00
Os1 0.5000 0.0000 0.0000  2.21
Os2 0.0000 0.0000 0.5000  2.43

Properties
M_tot: 5.3 μB/f.u.
ΔE_f (raw): 2577 meV per atom
E: -17.9 eV/f.u.
Crystal system: tetragonal